Entry 1:
Pm5In2Pt2 after structural relaxation. Source: Alexandria, functional PBE.

Geometry as POSCAR:
```
Pm5In2Pt2
1.0
8.045 -4.304 0.000
8.045 4.304 0.000
0.000 0.000 7.405
Pm In Pt
10 4 4
direct
0.000 0.000 0.000
0.060 0.697 0.656
0.197 0.560 0.156
0.303 0.940 0.656
0.440 0.803 0.156
0.500 0.500 0.500
0.560 0.197 0.844
0.697 0.060 0.344
0.803 0.440 0.844
0.940 0.303 0.344
0.214 0.214 0.000
0.286 0.286 0.500
0.714 0.714 0.500
0.786 0.786 0.000
0.121 0.879 0.366
0.379 0.621 0.866
0.621 0.379 0.134
0.879 0.121 0.634
```

Computed properties:
symmetry = Cmce, No. 64
formation energy from the elements = -6.27 eV per formula unit
total magnetic moment = 0.00 μB/f.u.

---

Entry 2:
PmIn4Pt4 after structural relaxation. Source: Alexandria, functional PBE.

Geometry as POSCAR:
```
PmIn4Pt4
1.0
7.107 0.000 0.000
0.000 7.107 0.000
0.000 0.000 8.056
Pm In Pt
2 8 8
direct
0.250 0.750 0.250
0.750 0.250 0.750
0.005 0.750 0.626
0.250 0.505 0.874
0.250 0.995 0.874
0.495 0.750 0.626
0.505 0.250 0.374
0.750 0.005 0.126
0.750 0.495 0.126
0.995 0.250 0.374
0.035 0.250 0.034
0.250 0.035 0.534
0.250 0.465 0.534
0.465 0.250 0.034
0.535 0.750 0.966
0.750 0.535 0.466
0.750 0.965 0.466
0.965 0.750 0.966
```

Computed properties:
symmetry = P4_2/nmc, No. 137
formation energy from the elements = -4.53 eV per formula unit
total magnetic moment = 0.00 μB/f.u.

---

Entry 3:
Pm2In2Pt after structural relaxation. Source: Alexandria, functional PBE.

Geometry as POSCAR:
```
Pm2In2Pt
1.0
-2.370 2.370 12.316
2.370 -2.370 12.316
2.370 2.370 -12.316
Pm In Pt
4 4 2
direct
0.061 0.311 0.750
0.311 0.061 0.250
0.689 0.939 0.750
0.939 0.689 0.250
0.204 0.454 0.750
0.454 0.204 0.250
0.546 0.796 0.750
0.796 0.546 0.250
0.375 0.625 0.750
0.625 0.375 0.250
```

Computed properties:
symmetry = I4_1/amd, No. 141
formation energy from the elements = -3.23 eV per formula unit
total magnetic moment = 0.00 μB/f.u.